1.
DFT (GGA-PBE) results for an optimized crystal structure of ReMoSe2Br.

Results
Distance to the lowest polymorph of the same formula ... 0.000 eV per atom
Formation energy without anion corrections ... 5.35 eV/f.u.
Symmetry ... P4/mmm

a b c (Å): 4.806 4.806 5.414
angles (deg): 90.00 90.00 90.00
Atoms (fractional coordinates):
Re: 0.000 0.000 0.000
Mo: 0.500 0.500 0.500
Se: 0.000 0.500 0.000
Se: 0.500 0.000 0.000
Br: 0.000 0.000 0.500

=====

2.
DFT (GGA-PBE) results for an optimized crystal structure of TbErU2S4.

Results
Formation energy without anion corrections ... -13.31 eV/f.u.
Symmetry ... P2/m

a b c (Å): 6.622 3.814 6.915
angles (deg): 90.00 108.56 90.00
Atoms (fractional coordinates):
Tb: 0.000 0.000 0.000
Er: 0.500 0.500 0.000
U: 0.000 0.500 0.500
U: 0.500 0.000 0.500
S: 0.252 0.500 0.247
S: 0.254 0.000 0.755
S: 0.746 0.000 0.245
S: 0.748 0.500 0.753

=====

3.
DFT (GGA-PBE) results for an optimized crystal structure of Pr2SnAu.

Results
Energy of formation ... -16.41 kcal/mol of atoms
Symmetry ... P4/mmm

a b c (Å): 3.710 3.710 8.078
angles (deg): 90.00 90.00 90.00
Atoms (fractional coordinates):
Pr: 0.000 0.000 0.236
Pr: 0.000 0.000 0.764
Sn: 0.500 0.500 0.500
Au: 0.500 0.500 0.000

=====

Values of VASP energy, in order: -26.57; -61.59; -19.69, all in eV for the cell shown.